i) An optimized crystal structure of CeHgSb, computed with GGA-PBE.

Results
- Theoretical density: 8.9 g cm⁻³
- Space-group type: I4/mmm, No. 139

Cell lengths 9.048, 9.048, 9.048 Å; angles 151.18, 151.18, 41.22 degrees
Element x y z (fractional)
Ce  0.152  0.152  0.000
Ce  0.848  0.848  0.000
Hg  0.000  0.500  0.500
Hg  0.500  0.000  0.500
Sb  0.339  0.339  0.000
Sb  0.661  0.661  0.000

***

ii) An optimized crystal structure of CeHgSb, computed with GGA-PBE.

Results
- Theoretical density: 9.0 g cm⁻³
- Space-group type: I4mm, No. 107

Cell lengths 5.627, 5.627, 5.627 Å; angles 135.84, 135.84, 64.22 degrees
Element x y z (fractional)
Ce  0.000  0.000  0.000
Hg  0.674  0.674  0.000
Sb  0.349  0.349  0.000

***

iii) An optimized crystal structure of CeHgSb, computed with GGA-PBE.

Results
- Theoretical density: 8.8 g cm⁻³
- Space-group type: P3m1, No. 156

Cell lengths 4.782, 4.782, 4.407 Å; angles 90.00, 90.00, 120.00 degrees
Element x y z (fractional)
Ce  0.000  0.000  0.000
Hg  0.667  0.333  0.682
Sb  0.333  0.667  0.412

***

Which of them is most stable? Easy: i).